RbV2CrBr | PBE | relaxed

a = 4.3406 Å, b = 4.3406 Å, c = 7.7720 Å
α = 90.00°, β = 90.00°, γ = 90.00°
Positions (direct):
Rb 0.0000 0.0000 0.0000
V 0.0000 0.5000 0.5000
V 0.5000 0.0000 0.5000
Cr 0.0000 0.0000 0.5000
Br 0.5000 0.5000 0.0000

## Properties
**Density of states at the Fermi level**: 1.265 states/eV per atom
**Raw total energy**: -5.111 eV per atom
**Total magnetic moment**: 0.00 μB per cell
**ρ**: 3.6 g/cm³
**Formation energy without anion corrections**: 0.989 eV per atom

CuWCl3 | PBE | relaxed

a = 4.7883 Å, b = 4.7883 Å, c = 4.7883 Å
α = 90.00°, β = 90.00°, γ = 90.00°
Positions (direct):
Cu 0.0000 0.0000 0.0000
W 0.5000 0.5000 0.5000
Cl 0.0000 0.5000 0.5000
Cl 0.5000 0.0000 0.5000
Cl 0.5000 0.5000 0.0000

## Properties
**Density of states at the Fermi level**: 1.721 states/eV per atom
**Raw total energy**: -4.109 eV per atom
**Total magnetic moment**: 0.00 μB per cell
**ρ**: 5.4 g/cm³
**Formation energy without anion corrections**: 0.409 eV per atom

SiMo2Cl | PBE | relaxed

a = 2.9177 Å, b = 2.9177 Å, c = 7.9193 Å
α = 90.00°, β = 90.00°, γ = 109.21°
Positions (direct):
Si 0.0000 0.0000 0.0000
Mo 0.5000 0.5000 0.2217
Mo 0.5000 0.5000 0.7783
Cl 0.0000 0.0000 0.5000

## Properties
**Density of states at the Fermi level**: 1.091 states/eV per atom
**Raw total energy**: -6.893 eV per atom
**Total magnetic moment**: 0.00 μB per cell
**ρ**: 6.7 g/cm³
**Formation energy without anion corrections**: 0.340 eV per atom

La3PrZn8 | PBE | relaxed

a = 5.7657 Å, b = 5.7657 Å, c = 8.8337 Å
α = 90.00°, β = 90.00°, γ = 120.00°
Positions (direct):
La 0.0000 0.0000 0.0000
La 0.0000 0.0000 0.3989
La 0.3333 0.6667 0.8981
Pr 0.3333 0.6667 0.5040
Zn 0.3439 0.1719 0.6990
Zn 0.5031 0.0062 0.2015
Zn 0.5031 0.4969 0.2015
Zn 0.6667 0.3333 0.4492
Zn 0.6667 0.3333 0.9520
Zn 0.8281 0.1719 0.6990
Zn 0.8281 0.6561 0.6990
Zn 0.9938 0.4969 0.2015

## Properties
**Density of states at the Fermi level**: 0.503 states/eV per atom
**Formation energy from the elements**: -312.6 meV per atom
**Raw total energy**: -2.792 eV per atom
**Total magnetic moment**: 0.00 μB per cell
**ρ**: 7.1 g/cm³